A plane-wave DFT calculation with GGA+U was carried out for crystalline LiInMo2O8 at its relaxed geometry.

Output
magnetic moment: 0.000 μB per formula unit
energy above the most stable polymorph in this dataset: 0 meV/atom
final energy: -0.482 Ry per atom

a = 8.2021 Å, b = 7.2539 Å, c = 13.0707 Å
α = 75.93°, β = 90.00°, γ = 90.00°
Last column: nearest neighbours and their distance in Å.
Sites, in units of the cell vectors:
In1 0.1604 0.6185 0.5320  6 O 2.14-2.23
O1 0.6392 0.0105 0.7971  1 Mo 1.74
Li1 0.1466 0.9599 0.8598  4 O 2.01-2.20
O2 0.0811 0.1317 0.0905  1 Mo 1.75
O3 0.9373 0.4261 0.3114  1 Mo 1.80
In2 0.8396 0.3815 0.4680  6 O 2.14-2.23
Mo1 0.0858 0.4814 0.8287  4 O 1.76-1.83
O4 0.5929 0.6733 0.9696  1 Mo 1.90
O5 0.6876 0.0788 0.0044  1 Mo 1.84
O6 0.9189 0.8683 0.9095  1 Mo 1.75
O7 0.0627 0.5739 0.6886  1 Mo 1.80
O8 0.8124 0.0788 0.5044  1 Mo 1.84
O9 0.2856 0.6392 0.3838  1 Mo 1.83
O10 0.5627 0.4261 0.8114  1 Mo 1.80
O11 0.4373 0.5739 0.1886  1 Mo 1.80
O12 0.1135 0.5392 0.1128  1 Mo 1.80
Mo2 0.5858 0.5186 0.6713  4 O 1.76-1.83
O13 0.3865 0.5392 0.6128  1 Mo 1.80
O14 0.3608 0.9895 0.2029  1 Mo 1.74
Mo3 0.2104 0.0952 0.5767  4 O 1.74-1.90
O15 0.8291 0.7480 0.1442  1 Mo 1.76
Mo4 0.9142 0.5186 0.1713  4 O 1.76-1.83
In3 0.6604 0.3815 0.9680  6 O 2.14-2.23
O16 0.1709 0.2520 0.8558  1 Mo 1.76
O17 0.8865 0.4608 0.8872  1 Mo 1.80
O18 0.3124 0.9212 0.9956  1 Mo 1.84
O19 0.0929 0.3267 0.5304  1 Mo 1.90
O20 0.8608 0.0105 0.2971  1 Mo 1.74
Mo5 0.4142 0.4814 0.3287  4 O 1.76-1.83
O21 0.1392 0.9895 0.7029  1 Mo 1.74
Mo6 0.7896 0.9048 0.4233  4 O 1.74-1.90
O22 0.1876 0.9212 0.4956  1 Mo 1.84
Mo7 0.7104 0.9048 0.9233  4 O 1.74-1.90
O23 0.3291 0.2520 0.3558  1 Mo 1.76
O24 0.2144 0.6392 0.8838  1 Mo 1.83
Li2 0.6466 0.0401 0.6402  4 O 2.01-2.20
O25 0.5811 0.8683 0.4095  1 Mo 1.75
O26 0.4189 0.1317 0.5905  1 Mo 1.75
Li3 0.3534 0.9599 0.3598  4 O 2.01-2.20
O27 0.7856 0.3608 0.1162  1 Mo 1.83
O28 0.6709 0.7480 0.6442  1 Mo 1.76
In4 0.3396 0.6185 0.0320  6 O 2.14-2.23
Mo8 0.2896 0.0952 0.0767  4 O 1.74-1.90
O29 0.4071 0.3267 0.0304  1 Mo 1.90
Li4 0.8534 0.0401 0.1402  4 O 2.01-2.20
O30 0.6135 0.4608 0.3872  1 Mo 1.80
O31 0.9071 0.6733 0.4696  1 Mo 1.90
O32 0.7144 0.3608 0.6162  1 Mo 1.83